A plane-wave DFT calculation with PBE was carried out for a relaxed structure of BaAsOs2.

Cell: 3.0760 3.0760 8.5021 Å, 90.00 90.00 90.00°
Atoms (fractional coordinates):
1 Ba 0.0000 0.0000 0.0000
2 As 0.5000 0.5000 0.6676
3 Os 0.0000 0.0000 0.4817
4 Os 0.5000 0.5000 0.3008

Properties
**DOS(E_F)**: 3.93 states/eV/cell
**Magnetization**: 0.0 Bohr magnetons per cell
**Calculated density**: 12.23 Mg/m³
**Energy of formation**: 0.458 eV/atom
**Total DFT energy (no corrections)**: -27.2 eV per cell